[1]
{"formula": "Y2Ho3Si4", "functional": "GGA-PBE", "state": "optimized geometry", "lattice": [[7.383, 0.128, 0.000], [-2.303, 7.267, 0.000], [0.000, 0.000, 7.677]], "species": ["Si", "Si", "Si", "Si", "Si", "Si", "Si", "Si", "Ho", "Ho", "Ho", "Ho", "Ho", "Ho", "Y", "Y", "Y", "Y"], "frac_coords": [[0.123, 0.510, 0.879], [0.124, 0.920, 0.471], [0.377, 0.490, 0.379], [0.376, 0.080, 0.971], [0.876, 0.080, 0.529], [0.624, 0.920, 0.029], [0.623, 0.510, 0.621], [0.877, 0.490, 0.121], [0.500, 0.500, 0.000], [0.000, 0.500, 0.500], [0.747, 0.756, 0.319], [0.753, 0.244, 0.819], [0.253, 0.244, 0.681], [0.247, 0.756, 0.181], [0.586, 0.199, 0.319], [0.914, 0.801, 0.819], [0.414, 0.801, 0.681], [0.086, 0.199, 0.181]], "vol_a3_per_fu": 207, "rho_g_cm3": 6.3, "e_form_raw_ev_per_atom": -0.76, "total_energy_ev_per_cell": -110.47}

[2]
{"formula": "NdDy2ErTm5", "functional": "GGA-PBE", "state": "optimized geometry", "lattice": [[-7.229, -0.239, 5.154], [-4.523, -3.974, -6.528], [7.899, -4.365, 3.225]], "species": ["Tm", "Tm", "Tm", "Tm", "Tm", "Tm", "Tm", "Tm", "Tm", "Tm", "Dy", "Dy", "Dy", "Dy", "Er", "Er", "Nd", "Nd"], "frac_coords": [[0.837, 0.926, 0.264], [0.926, 0.426, 0.264], [0.163, 0.074, 0.736], [0.337, 0.837, 0.264], [0.000, 0.000, 0.000], [0.663, 0.163, 0.736], [0.500, 0.500, 0.000], [0.426, 0.337, 0.264], [0.574, 0.663, 0.736], [0.074, 0.574, 0.736], [0.112, 0.388, 0.000], [0.888, 0.612, 0.000], [0.612, 0.112, 0.000], [0.388, 0.888, 0.000], [0.750, 0.250, 0.500], [0.250, 0.750, 0.500], [0.750, 0.750, 0.500], [0.250, 0.250, 0.500]], "vol_a3_per_fu": 286, "rho_g_cm3": 8.6, "formation_energy_ev_per_atom": 0.291, "total_energy_ev_per_cell": -76.54}

[3]
{"formula": "Bi2TeHN", "functional": "GGA-PBE", "state": "optimized geometry", "lattice": [[4.952, 0.000, 0.000], [0.000, 4.651, 0.000], [0.000, 0.000, 4.952]], "species": ["H", "Bi", "Bi", "Te", "N"], "frac_coords": [[0.500, 0.500, 0.500], [0.500, 0.000, 0.000], [0.000, 0.000, 0.500], [0.000, 0.500, 0.000], [0.000, 0.000, 0.000]], "vol_a3_per_fu": 114, "rho_g_cm3": 8.2, "total_energy_ev_per_cell": -17.69}

[4]
{"formula": "TaReNi3", "functional": "GGA-PBE", "state": "optimized geometry", "lattice": [[4.398, 0.000, 0.000], [0.000, 4.398, 0.000], [0.000, 0.000, 4.398]], "species": ["Ni", "Ni", "Ni", "Re", "Ta"], "frac_coords": [[0.000, 0.000, 0.500], [0.500, 0.000, 0.000], [0.000, 0.500, 0.000], [0.000, 0.000, 0.000], [0.500, 0.500, 0.500]], "vol_a3_per_fu": 85, "rho_g_cm3": 10.6, "formation_energy_ev_per_atom": 1.409, "total_energy_ev_per_cell": -34.60}

[5]
{"formula": "KPRu2", "functional": "GGA-PBE", "state": "optimized geometry", "lattice": [[2.968, -0.007, 0.000], [-1.306, 2.666, 0.000], [0.000, 0.000, 8.989]], "species": ["Ru", "Ru", "P", "K"], "frac_coords": [[0.000, 0.000, 0.570], [0.000, 0.000, 0.930], [0.500, 0.500, 0.750], [0.500, 0.500, 0.250]], "vol_a3_per_fu": 71, "rho_g_cm3": 6.4, "formation_energy_ev_per_atom": 0.462, "total_energy_ev_per_cell": -23.21}

[6]
{"formula": "NaHPdF6", "functional": "GGA-PBE", "state": "optimized geometry", "lattice": [[-1.537, -4.546, 1.032], [4.511, 0.716, -1.799], [3.657, 0.929, 9.539]], "species": ["F", "F", "F", "F", "F", "F", "F", "F", "F", "F", "F", "F", "Na", "Na", "H", "H", "Pd", "Pd"], "frac_coords": [[0.351, 0.984, 0.147], [0.351, 0.367, 0.353], [0.016, 0.367, 0.147], [0.367, 0.351, 0.853], [0.633, 0.649, 0.147], [0.649, 0.016, 0.853], [0.633, 0.984, 0.353], [0.984, 0.633, 0.853], [0.984, 0.351, 0.647], [0.649, 0.633, 0.647], [0.367, 0.016, 0.647], [0.016, 0.649, 0.353], [0.000, 0.000, 0.000], [0.000, 0.000, 0.500], [0.333, 0.667, 0.250], [0.667, 0.333, 0.750], [0.333, 0.667, 0.750], [0.667, 0.333, 0.250]], "vol_a3_per_fu": 107, "rho_g_cm3": 3.8, "total_energy_ev_per_cell": -68.13}

[7]
{"formula": "TaReSCl2", "functional": "GGA-PBE", "state": "optimized geometry", "lattice": [[-0.457, -4.455, -1.938], [-0.853, -1.842, 4.437], [-4.395, 0.693, -0.557]], "species": ["S", "Cl", "Cl", "Ta", "Re"], "frac_coords": [[0.000, 0.000, 0.500], [0.000, 0.500, 0.000], [0.500, 0.000, 0.000], [0.500, 0.500, 0.500], [0.000, 0.000, 0.000]], "vol_a3_per_fu": 107, "rho_g_cm3": 7.3, "e_form_raw_ev_per_atom": 1.13, "total_energy_ev_per_cell": -26.47}

[8]
{"formula": "SrHgMoPb2", "functional": "GGA-PBE", "state": "optimized geometry", "lattice": [[6.164, 0.000, 0.000], [0.000, 5.612, 0.000], [0.000, 0.000, 6.164]], "species": ["Sr", "Pb", "Pb", "Mo", "Hg"], "frac_coords": [[0.000, 0.000, 0.000], [0.000, 0.000, 0.500], [0.500, 0.000, 0.000], [0.000, 0.500, 0.000], [0.500, 0.500, 0.500]], "vol_a3_per_fu": 213, "rho_g_cm3": 6.2, "formation_energy_ev_per_atom": 1.533, "total_energy_ev_per_cell": -12.56}

What is the formula in the fourth record? TaReNi3